1.
Compound: Li2CdBiPd
Source: Alexandria
Functional: PBE-GGA
Structure: optimized geometry

For the formation enthalpy at 0 K, the calculation gives 129 meV per atom. As for the spin magnetization: 0.00 μB per cell. The theoretical density comes out at 5.27 g/cm³.

It has space group P4/mmm (No. 123), with a = 5.170 Å, b = 5.170 Å, c = 5.209 Å, α = 90.00°, β = 90.00° and γ = 90.00°. Symmetry generates all atoms from Li at (0.000, 0.500, 0.000), Cd at (0.000, 0.000, 0.500), Bi at (0.500, 0.500, 0.000) and Pd at (0.500, 0.500, 0.500).

=====

2.
Compound: Ta2MnPb
Source: Alexandria
Functional: PBE-GGA
Structure: optimized geometry

For the formation enthalpy at 0 K, the calculation gives 336 meV per atom. As for the spin magnetization: 2.87 μB per cell. The theoretical density comes out at 14.20 g/cm³.

It has space group Pmmm (No. 47), with a = 3.692 Å, b = 4.355 Å, c = 4.539 Å, α = 90.00°, β = 90.00° and γ = 90.00°. Symmetry generates all atoms from Ta at (0.000, 0.000, 0.000), Ta at (0.500, 0.500, 0.000), Mn at (0.000, 0.500, 0.500) and Pb at (0.500, 0.000, 0.500).